1.
Density functional theory data (PBE) for a relaxed SrNdTm crystal.

Lattice parameters (Å, degrees): 3.7648 3.7648 8.4778 102.83 102.83 90.00
Closest atoms and distances in Å follow each position.
Element x y z (fractional)
Sr  0.9981  0.9981  0.9962  4 Sr 3.76, 4 Tm 3.90, 4 Nd 3.97
Tm  0.3207  0.3207  0.6414  4 Nd 3.48, 4 Tm 3.76
Nd  0.6812  0.6812  0.3625  4 Tm 3.48, 4 Nd 3.76

Results
Energy above the most stable polymorph in this dataset ... 0.0 meV/atom
Size of the total moment ... 0.0000 μB per atom
SG ... I4mm (107)
Density ... 5834 kg/m3
Energy of formation from the pure elements ... 0.121 eV/atom



2.
Density functional theory data (PBE) for a relaxed Ho2MgTa crystal.

Lattice parameters (Å, degrees): 3.1335 3.1335 11.9524 82.47 82.47 60.00
Closest atoms and distances in Å follow each position.
Element x y z (fractional)
Ta  0.0000  0.0000  0.0000  2 Ho 2.98, 6 Ta 3.13
Ho  0.0840  0.0840  0.7478  1 Ta 2.98, 6 Ho 3.13
Mg  0.5000  0.5000  0.5000  6 Mg 3.13, 6 Ho 3.44
Ho  0.9160  0.9160  0.2522  1 Ta 2.98, 6 Ho 3.13

Results
Size of the total moment ... 0.0565 μB per atom
SG ... R-3m (166)
Density ... 8845 kg/m3
Energy of formation from the pure elements ... 0.564 eV/atom



3.
Density functional theory data (PBE) for a relaxed LaTcW crystal.

Lattice parameters (Å, degrees): 7.6918 7.4588 2.9609 83.19 74.34 22.47
Closest atoms and distances in Å follow each position.
Element x y z (fractional)
La  0.0047  0.0047  0.9953  6 La 2.96-3.24, 2 Tc 3.03, 2 W 3.21
Tc  0.6807  0.6807  0.3193  2 W 2.53
W  0.3146  0.3146  0.6854  2 Tc 2.53

Results
Energy above the most stable polymorph in this dataset ... 363.6 meV/atom
Size of the total moment ... 0.0000 μB per atom
SG ... Fmm2 (42)
Density ... 11957 kg/m3
Energy of formation from the pure elements ... 0.511 eV/atom



4.
Density functional theory data (PBE) for a relaxed Sr2CdSn3Hg4 crystal.

Lattice parameters (Å, degrees): 4.7896 4.7896 12.5662 90.00 90.00 90.00
Closest atoms and distances in Å follow each position.
Element x y z (fractional)
Sn  0.0000  0.0000  0.5000  4 Hg 2.97
Sn  0.5000  0.0000  0.8628  5 Hg 2.80-2.95
Sr  0.0000  0.5000  0.7604  6 Sn 3.62-4.06, 8 Hg 3.71-3.85, 2 Cd 4.06
Sr  0.5000  0.0000  0.2396  6 Sn 3.62-4.06, 8 Hg 3.71-3.85, 2 Cd 4.06
Sn  0.0000  0.5000  0.1372  5 Hg 2.80-2.95
Hg  0.0000  0.0000  0.0000  4 Sn 2.95
Cd  0.5000  0.5000  0.5000  4 Hg 2.97
Hg  0.0000  0.5000  0.3598  3 Sn 2.80-2.97, 2 Cd 2.97
Hg  0.5000  0.0000  0.6402  3 Sn 2.80-2.97, 2 Cd 2.97
Hg  0.5000  0.5000  0.0000  4 Sn 2.95

Results
Size of the total moment ... 0.0000 μB per atom
SG ... P-4m2 (115)
Density ... 8330 kg/m3
Energy of formation from the pure elements ... -0.307 eV/atom



Repeat the fourth record exactly.
Density functional theory data (PBE) for a relaxed Sr2CdSn3Hg4 crystal.

Lattice parameters (Å, degrees): 4.7896 4.7896 12.5662 90.00 90.00 90.00
Closest atoms and distances in Å follow each position.
Element x y z (fractional)
Sn  0.0000  0.0000  0.5000  4 Hg 2.97
Sn  0.5000  0.0000  0.8628  5 Hg 2.80-2.95
Sr  0.0000  0.5000  0.7604  6 Sn 3.62-4.06, 8 Hg 3.71-3.85, 2 Cd 4.06
Sr  0.5000  0.0000  0.2396  6 Sn 3.62-4.06, 8 Hg 3.71-3.85, 2 Cd 4.06
Sn  0.0000  0.5000  0.1372  5 Hg 2.80-2.95
Hg  0.0000  0.0000  0.0000  4 Sn 2.95
Cd  0.5000  0.5000  0.5000  4 Hg 2.97
Hg  0.0000  0.5000  0.3598  3 Sn 2.80-2.97, 2 Cd 2.97
Hg  0.5000  0.0000  0.6402  3 Sn 2.80-2.97, 2 Cd 2.97
Hg  0.5000  0.5000  0.0000  4 Sn 2.95

Results
Size of the total moment ... 0.0000 μB per atom
SG ... P-4m2 (115)
Density ... 8330 kg/m3
Energy of formation from the pure elements ... -0.307 eV/atom